Er12Ru6C: optimized geometry, GGA-PBE.

Cell lengths 7.883, 7.883, 7.883 Å; angles 99.47, 99.47, 99.47 degrees
Atoms (fractional coordinates):
Ru1 0.621 0.298 0.133
Ru2 0.867 0.379 0.702
Ru3 0.379 0.702 0.867
Ru4 0.298 0.133 0.621
Ru5 0.133 0.621 0.298
Ru6 0.702 0.867 0.379
Er1 0.429 0.822 0.578
Er2 0.690 0.931 0.042
Er3 0.178 0.422 0.571
Er4 0.571 0.178 0.422
Er5 0.422 0.571 0.178
Er6 0.042 0.690 0.931
Er7 0.069 0.958 0.310
Er8 0.931 0.042 0.690
Er9 0.958 0.310 0.069
Er10 0.822 0.578 0.429
Er11 0.578 0.429 0.822
Er12 0.310 0.069 0.958
C1 0.000 0.000 0.000

Summary:
Formation energy: -398 kJ/mol of formula units
Raw total energy: -6.51 eV per atom
SG: R-3 (148)

***

ErRu2C: optimized geometry, GGA-PBE.

Cell lengths 3.236, 3.236, 7.002 Å; angles 76.64, 76.64, 60.00 degrees
Atoms (fractional coordinates):
Ru1 0.717 0.717 0.850
Ru2 0.283 0.283 0.150
C1 0.000 0.000 0.000
Er1 0.500 0.500 0.500

Summary:
Formation energy: 91 kJ/mol of formula units
Raw total energy: -7.85 eV per atom
SG: R-3m (166)

***

Er7Ru2C11: optimized geometry, GGA-PBE.

Cell lengths 8.412, 8.412, 19.755 Å; angles 90.00, 90.00, 156.68 degrees
Atoms (fractional coordinates):
C1 0.925 0.075 0.079
C2 0.276 0.724 0.250
C3 0.133 0.867 0.877
C4 0.867 0.133 0.377
C5 0.805 0.195 0.750
C6 0.867 0.133 0.123
C7 0.873 0.127 0.584
C8 0.127 0.873 0.416
C9 0.075 0.925 0.921
C10 0.127 0.873 0.084
C11 0.499 0.501 0.250
C12 0.925 0.075 0.421
C13 0.794 0.206 0.564
C14 0.724 0.276 0.750
C15 0.075 0.925 0.579
C16 0.195 0.805 0.250
C17 0.501 0.499 0.750
C18 0.206 0.794 0.436
C19 0.133 0.867 0.623
C20 0.206 0.794 0.064
C21 0.873 0.127 0.916
C22 0.794 0.206 0.936
Er1 0.721 0.279 0.345
Er2 0.105 0.895 0.750
Er3 0.279 0.721 0.845
Er4 0.662 0.338 0.519
Er5 0.479 0.521 0.873
Er6 0.521 0.479 0.127
Er7 0.479 0.521 0.627
Er8 0.338 0.662 0.019
Er9 0.721 0.279 0.155
Er10 0.279 0.721 0.655
Er11 0.662 0.338 0.981
Er12 0.895 0.105 0.250
Er13 0.338 0.662 0.481
Er14 0.521 0.479 0.373
Ru1 0.000 0.000 0.500
Ru2 0.922 0.078 0.750
Ru3 0.000 0.000 0.000
Ru4 0.078 0.922 0.250

Summary:
Formation energy: -556 kJ/mol of formula units
Raw total energy: -7.89 eV per atom
SG: Cmcm (63)

***

ErSiRu2C: optimized geometry, GGA-PBE.

Cell lengths 5.885, 5.885, 7.132 Å; angles 90.00, 90.00, 142.51 degrees
Atoms (fractional coordinates):
Er1 0.453 0.547 0.750
Er2 0.547 0.453 0.250
Ru1 0.836 0.164 0.056
Ru2 0.164 0.836 0.556
Ru3 0.836 0.164 0.444
Ru4 0.164 0.836 0.944
C1 0.000 0.000 0.500
C2 0.000 0.000 0.000
Si1 0.731 0.269 0.750
Si2 0.269 0.731 0.250

Summary:
Raw total energy: -8.17 eV per atom
SG: Cmcm (63)
Formation energy from raw total energies: -0.616 eV/atom

***

Er3Sn2Ru3C: optimized geometry, GGA-PBE.

Cell lengths 3.563, 7.398, 7.398 Å; angles 120.00, 90.00, 90.00 degrees
Atoms (fractional coordinates):
Ru1 0.500 0.000 0.787
Ru2 0.500 0.213 0.213
Ru3 0.500 0.787 0.000
Er1 0.000 0.651 0.651
Er2 0.000 0.000 0.349
Er3 0.000 0.349 0.000
Sn1 0.500 0.667 0.333
Sn2 0.500 0.333 0.667
C1 0.000 0.000 0.000

Summary:
Formation energy: -252 kJ/mol of formula units
Raw total energy: -6.82 eV per atom
SG: P-62m (189)

***

Er2TlRuC: optimized geometry, GGA-PBE.

Cell lengths 3.956, 4.985, 4.985 Å; angles 90.00, 90.00, 90.00 degrees
Atoms (fractional coordinates):
Er1 0.000 0.500 0.000
Er2 0.000 0.000 0.500
Ru1 0.500 0.000 0.000
Tl1 0.500 0.500 0.500
C1 0.000 0.000 0.000

Summary:
Formation energy: -181 kJ/mol of formula units
Raw total energy: -6.37 eV per atom
SG: P4/mmm (123)

***

Er3Zn2Ru3C: optimized geometry, GGA-PBE.

Cell lengths 3.323, 7.249, 7.249 Å; angles 120.00, 90.00, 90.00 degrees
Atoms (fractional coordinates):
Er1 0.000 0.363 0.000
Er2 0.000 0.637 0.637
Er3 0.000 0.000 0.363
Ru1 0.500 0.776 0.000
Ru2 0.500 0.000 0.776
Ru3 0.500 0.224 0.224
Zn1 0.500 0.667 0.333
Zn2 0.500 0.333 0.667
C1 0.000 0.000 0.000

Summary:
Formation energy: -173 kJ/mol of formula units
Raw total energy: -6.12 eV per atom
SG: P-62m (189)

***

Er2Zn2Ru2C: optimized geometry, GGA-PBE.

Cell lengths 3.763, 5.736, 6.394 Å; angles 72.19, 72.89, 70.85 degrees
Atoms (fractional coordinates):
Zn1 0.866 0.607 0.661
Zn2 0.134 0.393 0.339
Ru1 0.195 0.680 0.930
Ru2 0.805 0.320 0.070
C1 0.000 0.000 0.000
Er1 0.567 0.150 0.716
Er2 0.433 0.850 0.284

Summary:
Formation energy: -238 kJ/mol of formula units
Raw total energy: -5.99 eV per atom
SG: C2/m (12)

***

Er3CS: optimized geometry, GGA-PBE.

Cell lengths 3.548, 9.375, 6.722 Å; angles 90.00, 90.00, 82.17 degrees
Atoms (fractional coordinates):
C1 0.339 0.735 0.750
C2 0.661 0.265 0.250
Er1 0.399 0.499 0.250
Er2 0.825 0.806 0.522
Er3 0.825 0.806 0.978
Er4 0.175 0.194 0.478
Er5 0.601 0.501 0.750
Er6 0.175 0.194 0.022
S1 0.725 0.067 0.750
S2 0.275 0.933 0.250

Summary:
Raw total energy: -6.19 eV per atom
SG: P2_1/m (11)
Formation energy from raw total energies: -0.780 eV/atom

***

Er3CS2: optimized geometry, GGA-PBE.

Cell lengths 3.698, 5.348, 6.645 Å; angles 113.73, 106.16, 90.00 degrees
Atoms (fractional coordinates):
C1 0.000 0.500 0.000
Er1 0.000 0.000 0.000
Er2 0.359 0.359 0.718
Er3 0.641 0.641 0.282
S1 0.673 0.173 0.346
S2 0.327 0.827 0.654

Summary:
Raw total energy: -6.74 eV per atom
SG: Immm (71)
Formation energy from raw total energies: -1.549 eV/atom

***

Er4C2S: optimized geometry, GGA-PBE.

Cell lengths 3.641, 6.271, 12.150 Å; angles 90.00, 90.00, 106.88 degrees
Each line ends with the local moment (μB).
Atoms (fractional coordinates):
Er1 0.763 0.525 0.110  0.07
Er2 0.063 0.127 0.250  0.12
Er3 0.500 0.000 0.000  0.01
Er4 0.937 0.873 0.750  0.12
Er5 0.237 0.475 0.890  0.07
Er6 0.763 0.525 0.390  0.07
Er7 0.500 0.000 0.500  0.01
Er8 0.237 0.475 0.610  0.07
C1 0.864 0.728 0.561  0.00
C2 0.136 0.272 0.439  0.00
C3 0.864 0.728 0.939  0.00
C4 0.136 0.272 0.061  0.00
S1 0.608 0.216 0.750  0.00
S2 0.392 0.784 0.250  0.00

Summary:
Raw total energy: -6.62 eV per atom
SG: Cmcm (63)
Formation energy from raw total energies: -0.792 eV/atom

***

Er5CS4: optimized geometry, GGA-PBE.

Cell lengths 3.813, 3.813, 13.824 Å; angles 97.93, 97.93, 90.00 degrees
Atoms (fractional coordinates):
Er1 0.913 0.913 0.826
Er2 0.297 0.297 0.595
Er3 0.087 0.087 0.174
Er4 0.500 0.500 0.000
Er5 0.703 0.703 0.405
S1 0.600 0.600 0.201
S2 0.804 0.804 0.608
S3 0.196 0.196 0.392
S4 0.400 0.400 0.799
C1 0.000 0.000 0.000

Summary:
Raw total energy: -6.53 eV per atom
SG: I4/mmm (139)
Formation energy from raw total energies: -1.671 eV/atom